(1)
# meta-GGA SCAN KZr2TaBe, PBEsol geometry
# - formation energy (eV per atom) = 1.086
# - calculated total energy (eV per atom) = -27.047
# - crystal system = tetragonal
data_KZr2TaBe
_cell_length_a 4.573
_cell_length_b 4.920
_cell_length_c 4.920
_cell_angle_alpha 90.00
_cell_angle_beta 90.00
_cell_angle_gamma 90.00
_space_group_name_H-M_alt 'P 1'
_space_group_IT_number 1
loop_
_space_group_symop_operation_xyz
'x,y,z'
loop_
_atom_site_label
_atom_site_type_symbol
_atom_site_fract_x
_atom_site_fract_y
_atom_site_fract_z
_atom_site_occupancy
Be1 Be 0.000 0.000 0.000 1
K1 K 0.500 0.500 0.500 1
Zr1 Zr 0.000 0.000 0.500 1
Zr2 Zr 0.000 0.500 0.000 1
Ta1 Ta 0.500 0.000 0.000 1



(2)
# meta-GGA SCAN Y2AgBr, PBEsol geometry
# - calculated total energy (eV per atom) = -27.274
# - crystal system = orthorhombic
# - formation energy without anion corrections (eV/atom) = -0.65
data_Y2AgBr
_cell_length_a 3.599
_cell_length_b 3.782
_cell_length_c 7.903
_cell_angle_alpha 103.84
_cell_angle_beta 103.16
_cell_angle_gamma 90.00
_space_group_name_H-M_alt 'P 1'
_space_group_IT_number 1
loop_
_space_group_symop_operation_xyz
'x,y,z'
loop_
_atom_site_label
_atom_site_type_symbol
_atom_site_fract_x
_atom_site_fract_y
_atom_site_fract_z
_atom_site_occupancy
Y1 Y 0.039 0.039 0.079 1
Y2 Y 0.305 0.805 0.610 1
Br1 Br 0.703 0.203 0.406 1
Ag1 Ag 0.452 0.452 0.905 1



(3)
# meta-GGA SCAN CrSb2W, PBEsol geometry
# - calculated total energy (eV per atom) = -40.285
# - crystal system = orthorhombic
# - formation energy without anion corrections (eV/atom) = 0.36
data_CrSb2W
_cell_length_a 3.528
_cell_length_b 4.313
_cell_length_c 5.193
_cell_angle_alpha 90.00
_cell_angle_beta 109.86
_cell_angle_gamma 90.00
_space_group_name_H-M_alt 'P 1'
_space_group_IT_number 1
loop_
_space_group_symop_operation_xyz
'x,y,z'
loop_
_atom_site_label
_atom_site_type_symbol
_atom_site_fract_x
_atom_site_fract_y
_atom_site_fract_z
_atom_site_occupancy
Cr1 Cr 0.445 0.500 0.764 1
Sb1 Sb 0.021 0.000 0.917 1
Sb2 Sb 0.728 0.500 0.330 1
W1 W 0.307 0.000 0.489 1



(4)
# meta-GGA SCAN KBeZn, PBEsol geometry
# - formation energy (eV per atom) = 0.498
# - calculated total energy (eV per atom) = -8.235
# - crystal system = hexagonal
data_KBeZn
_cell_length_a 4.012
_cell_length_b 4.012
_cell_length_c 5.320
_cell_angle_alpha 90.00
_cell_angle_beta 90.00
_cell_angle_gamma 120.00
_space_group_name_H-M_alt 'P 1'
_space_group_IT_number 1
loop_
_space_group_symop_operation_xyz
'x,y,z'
loop_
_atom_site_label
_atom_site_type_symbol
_atom_site_fract_x
_atom_site_fract_y
_atom_site_fract_z
_atom_site_occupancy
Be1 Be 0.000 0.000 0.500 1
Zn1 Zn 0.333 0.667 0.500 1
K1 K 0.667 0.333 0.000 1



| no. | mass density (g cm⁻³) |
| --- | --- |
| 1 | 6.172 |
| 2 | 5.979 |
| 3 | 10.710 |
| 4 | 2.541 |